A plane-wave DFT calculation with PBE-GGA was carried out for Pm2Nd2Sm3 after structural relaxation.

Computed properties:
- energy of formation from the pure elements (eV/atom) = 0.0128
- DFT total energy (eV per atom) = -4.73
- crystal system = monoclinic
- D(E_F) (states/eV per atom) = 1.390
- SG = No. 12
- calculated density (g/cm³) = 7.103
- energy above the lowest structure with this stoichiometry (kJ/mol of atoms) = 0.0

Lattice parameters (Å, degrees): 3.647 9.657 8.174 64.89 77.10 100.84
Sites, in units of the cell vectors:
Pm (0.429, 0.143, 0.285)
Pm (0.571, 0.857, 0.715)
Nd (0.857, 0.286, 0.572)
Nd (0.143, 0.714, 0.428)
Sm (0.000, 0.000, 0.000)
Sm (0.715, 0.571, 0.142)
Sm (0.285, 0.429, 0.858)